(1)
A relaxed Cs2CdPtI6 crystal, computed with GGA-PBE.

Energy relative to the lowest polymorph listed for this composition   0.046 eV per atom
Magnetic moment   0.000 μB/f.u.
Total energy   -50.9 eV per cell

```
20
Lattice="4.1160 2.3764 14.2768 -4.1160 2.3764 14.2768 0.0000 -4.7528 14.2768" Properties=species:S:1:pos:R:3 pbc="T T T"
Cs 0.0000 0.0000 5.1153
Cs 0.0000 0.0000 12.7674
Cs 0.0000 0.0000 30.0628
Cs 0.0000 0.0000 37.7150
Cd 0.0000 0.0000 17.7098
Cd 0.0000 0.0000 25.1205
Pt 0.0000 0.0000 0.0000
Pt 0.0000 0.0000 21.4151
I -1.9857 -1.1464 19.7823
I 0.0000 -2.4660 15.9363
I -2.1356 1.2330 15.9363
I -2.1356 -1.2330 26.8939
I 0.0000 -2.2929 23.0480
I -1.9857 1.1464 23.0480
I 1.9857 -1.1464 19.7823
I 0.0000 2.2929 19.7823
I 2.1356 1.2330 15.9363
I 2.1356 -1.2330 26.8939
I 0.0000 2.4660 26.8939
I 1.9857 1.1464 23.0480
```


(2)
A relaxed Cs2CdPtI6 crystal, computed with GGA-PBE.

Energy relative to the lowest polymorph listed for this composition   0.000 eV per atom
Magnetic moment   0.000 μB/f.u.
Total energy   -25.9 eV per cell

```
10
Lattice="-4.2583 4.2583 6.0311 4.2583 -4.2583 6.0311 4.2583 4.2583 -6.0311" Properties=species:S:1:pos:R:3 pbc="T T T"
Cs 4.2583 0.0000 3.0155
Cs 0.0000 4.2583 3.0155
Cd 0.0000 0.0000 0.0000
Pt 0.0000 0.0000 6.0311
I 0.0000 0.0000 2.7244
I 2.3745 2.3745 0.0000
I 1.8838 -1.8838 6.0311
I -1.8838 1.8838 6.0311
I 1.8838 1.8838 6.0311
I 0.0000 0.0000 9.3378
```


(3)
A relaxed Cs3PuCd2I9 crystal, computed with GGA-PBE.

Magnetic moment   5.483 μB/f.u.
Total energy   -48.6 eV per cell

```
15
Lattice="8.7146 0.0000 0.0000 -4.3573 7.5470 0.0000 0.0000 0.0000 10.6720" Properties=species:S:1:pos:R:3 pbc="T T T"
Cs 0.0000 0.0000 0.0000
Cs 0.0000 5.0314 7.2570
Cs 4.3573 2.5157 3.4149
Pu 0.0000 0.0000 5.3360
Cd 0.0000 5.0314 1.6359
Cd 4.3573 2.5157 9.0360
I -2.1786 3.7735 0.0000
I 0.0000 2.5536 3.5457
I -2.1458 6.2703 3.5457
I 2.2114 1.2768 7.1262
I 4.3573 0.0000 0.0000
I 2.1786 3.7735 0.0000
I 2.1459 6.2703 3.5457
I 6.5031 1.2768 7.1262
I 4.3573 4.9935 7.1262
```


(4)
A relaxed CsPu2CdI8 crystal, computed with GGA-PBE.

Magnetic moment   11.003 μB/f.u.
Total energy   -54.6 eV per cell

```
12
Lattice="7.5289 0.0000 0.0000 0.6755 7.7991 0.0000 0.0175 0.0148 9.8182" Properties=species:S:1:pos:R:3 pbc="T T T"
Cs 0.0000 0.0000 0.0000
Pu 4.1074 3.9055 2.5600
Pu 4.1144 3.9084 7.2582
Cd 0.0088 0.0074 4.9091
I 2.5209 6.6038 6.9343
I 2.5223 6.6056 2.8803
I 2.2390 2.8062 4.9119
I 2.3764 2.9900 0.0060
I 5.8454 4.8239 9.8122
I 5.9829 5.0078 4.9063
I 5.6995 1.2084 6.9379
I 5.7010 1.2102 2.8839
```


(5)
A relaxed Cs2PuCdI6 crystal, computed with GGA-PBE.

Magnetic moment   5.699 μB/f.u.
Total energy   -37.4 eV per cell

```
10
Lattice="8.6470 0.0000 0.0000 -4.3235 7.4885 0.0000 0.0000 0.0000 7.2035" Properties=species:S:1:pos:R:3 pbc="T T T"
Cs 0.0000 4.9923 1.7578
Cs 4.3235 2.4962 5.4457
Pu 0.0000 0.0000 3.6017
Cd 0.0000 0.0000 0.0000
I 0.0000 2.5786 5.4332
I -2.0904 6.1992 5.4332
I 2.2331 1.2893 1.7703
I 2.0904 6.1992 5.4332
I 6.4138 1.2893 1.7703
I 4.3235 4.9099 1.7703
```


(6)
A relaxed CsPuCd2I8 crystal, computed with GGA-PBE.

Magnetic moment   5.000 μB/f.u.
Total energy   -39.3 eV per cell

```
12
Lattice="8.7952 0.0000 0.0000 -4.3976 7.6169 0.0000 0.0000 0.0000 10.3153" Properties=species:S:1:pos:R:3 pbc="T T T"
Cs 0.0000 0.0000 0.0000
Pu 0.0000 0.0000 5.1577
Cd 0.0000 5.0779 2.1377
Cd 4.3976 2.5390 8.1776
I 0.0000 2.4259 3.2564
I -2.2967 6.4039 3.2564
I 2.1009 1.2130 7.0589
I 0.0000 5.0779 9.7517
I 4.3976 2.5390 0.5636
I 2.2967 6.4039 3.2564
I 6.6943 1.2130 7.0589
I 4.3976 5.1910 7.0589
```


(7)
A relaxed CsRb2CdI5 crystal, computed with GGA-PBE.

Magnetic moment   0.014 μB/f.u.
Total energy   -44.8 eV per cell

```
18
Lattice="-5.0832 5.0832 8.4898 5.0832 -5.0832 8.4898 5.0832 5.0832 -8.4898" Properties=species:S:1:pos:R:3 pbc="T T T"
Cs 0.0000 0.0000 4.2449
Cs 0.0000 0.0000 12.7347
Rb 6.6730 1.5897 0.0000
Rb 1.5897 3.4935 0.0000
Rb 3.4935 1.5897 8.4898
Rb -1.5897 3.4935 8.4898
Cd 5.0832 0.0000 4.2449
Cd 0.0000 5.0832 4.2449
I 0.0000 0.0000 0.0000
I 3.5427 1.5405 -2.4667
I 3.5427 -1.5405 6.0231
I 3.5427 1.5405 2.4667
I 3.5427 -1.5405 10.9564
I 0.0000 0.0000 8.4898
I 1.5405 6.6238 -2.4667
I 1.5405 3.5427 6.0231
I 1.5405 6.6238 2.4667
I 1.5405 3.5427 10.9564
```


(8)
A relaxed CsRbCdI crystal, computed with GGA-PBE.

Magnetic moment   0.000 μB/f.u.
Total energy   -6.6 eV per cell

```
4
Lattice="0.0000 4.6861 4.6861 4.6861 0.0000 4.6861 4.6861 4.6861 0.0000" Properties=species:S:1:pos:R:3 pbc="T T T"
Cs 0.0000 0.0000 0.0000
Rb 4.6861 4.6861 4.6861
Cd 7.0292 7.0292 7.0292
I 2.3431 2.3431 2.3431
```


(9)
A relaxed Cs2RbCdI crystal, computed with GGA-PBE.

Magnetic moment   0.000 μB/f.u.
Total energy   -7.4 eV per cell

```
5
Lattice="7.4771 0.0000 0.0000 0.0000 7.4771 0.0000 0.0000 0.0000 7.1055" Properties=species:S:1:pos:R:3 pbc="T T T"
Cs 0.0000 3.7385 0.0000
Cs 3.7385 0.0000 0.0000
Rb 0.0000 0.0000 3.5527
Cd 3.7385 3.7385 3.5527
I 0.0000 0.0000 0.0000
```


(10)
A relaxed CsRb2CdI6 crystal, computed with GGA-PBE.

Magnetic moment   0.000 μB/f.u.
Total energy   -22.0 eV per cell

```
10
Lattice="0.0000 6.5570 6.5570 6.5570 0.0000 6.5570 6.5570 6.5570 0.0000" Properties=species:S:1:pos:R:3 pbc="T T T"
Cs 0.0000 0.0000 0.0000
Rb 3.2785 3.2785 3.2785
Rb 9.8355 9.8355 9.8355
Cd 6.5570 6.5570 6.5570
I 6.5570 6.5570 3.5881
I 6.5570 3.5881 6.5570
I 9.5258 6.5570 6.5570
I 3.5881 6.5570 6.5570
I 6.5570 9.5258 6.5570
I 6.5570 6.5570 9.5258
```


(11)
A relaxed Cs2CdRuI crystal, computed with GGA-PBE.

Magnetic moment   0.002 μB/f.u.
Total energy   -12.8 eV per cell

```
5
Lattice="5.9593 0.0000 0.0000 0.0000 5.9593 0.0000 0.0000 0.0000 5.3418" Properties=species:S:1:pos:R:3 pbc="T T T"
Cs 0.0000 2.9797 0.0000
Cs 2.9797 0.0000 0.0000
Cd 0.0000 0.0000 2.6709
Ru 0.0000 0.0000 0.0000
I 2.9797 2.9797 2.6709
```


(12)
A relaxed CsCdSbI6 crystal, computed with GGA-PBE.

Magnetic moment   0.000 μB/f.u.
Total energy   -21.3 eV per cell

```
9
Lattice="7.8556 0.0000 0.0000 -3.9278 6.8032 0.0000 0.0000 0.0000 8.7383" Properties=species:S:1:pos:R:3 pbc="T T T"
Cs 0.0000 0.0000 0.0000
Cd 0.0000 4.5355 4.3692
Sb 3.9278 2.2677 4.3692
I -1.4440 2.5376 6.1357
I -2.4521 4.2839 2.6026
I 1.4440 2.5376 2.6026
I -1.0082 6.7849 6.1357
I 2.4521 4.2839 6.1357
I 1.0082 6.7849 2.6026
```